A plane-wave DFT calculation with GGA+U was carried out for an optimized crystal structure of Cs2HoFe2O6.

Values from the calculation:
Total energy, Ha/atom: -0.2194
Magnetization, μB per cell: 21.00

a = 6.2201 Å, b = 6.2201 Å, c = 18.1192 Å
α = 90.00°, β = 90.00°, γ = 120.00°
Space group R-3m (No. 166, hexagonal axes)
Inequivalent atoms, fractional coordinates:
Cs: 0.0000 0.0000 0.2209 (multiplicity 6)
Ho: 0.0000 0.0000 0.0000 (multiplicity 3)
Fe: 0.0000 0.0000 0.4216 (multiplicity 6)
O: 0.0051 0.5025 0.2582 (multiplicity 18)